Density functional theory data (PBE-GGA) for a relaxed structure of CaTb2Nd.

Unit cell a=5.8046 b=5.8046 c=5.8046 alpha=60.00 beta=60.00 gamma=60.00
Last column: nearest neighbours and their distance in Å.
Atoms (fractional coordinates):
Nd  0.5000  0.5000  0.5000  8 Tb 3.55
Ca  0.0000  0.0000  0.0000  8 Tb 3.55
Tb  0.2500  0.2500  0.2500  4 Nd 3.55, 4 Ca 3.55
Tb  0.7500  0.7500  0.7500  4 Nd 3.55, 4 Ca 3.55

## Properties
Distance to the lowest polymorph of the same formula (meV/atom): 108
Energy (eV per atom): -3.84
Density of states at the Fermi level (states/eV/f.u.): 7.80